Record 1
Material: InSbW2
Method: DFT, PBE
State: relaxed

Properties
* calculated total energy: -0.550 Ry/atom
* energy above the lowest structure with this stoichiometry: 384 meV per atom
* space-group type: Imm2 (44)
* formation energy (no corrections): 2.82 eV/f.u.

a = 5.4256 Å, b = 5.4256 Å, c = 5.4256 Å
α = 141.86°, β = 128.57°, γ = 65.80°
Last column: nearest neighbours and their distance in Å.
Sites, in units of the cell vectors:
In 0.0000 0.0000 0.0000  8 W 2.95-3.21, 4 Sb 3.06-3.13
Sb 0.7266 0.2266 0.5000  6 W 2.87-2.96, 4 In 3.06-3.13
W 0.2597 0.7597 0.5000  2 W 2.67, 2 In 2.96, 4 Sb 2.96
W 0.4789 0.4789 0.0000  2 W 2.67, 2 Sb 2.87, 4 In 2.95

***

Record 2
Material: InSbW2
Method: DFT, PBE
State: relaxed

Properties
* calculated total energy: -0.566 Ry/atom
* energy above the lowest structure with this stoichiometry: 171 meV per atom
* space-group type: Cmm2 (35)
* formation energy (no corrections): 1.97 eV/f.u.

a = 2.9555 Å, b = 2.9555 Å, c = 10.4188 Å
α = 90.00°, β = 90.00°, γ = 112.04°
Last column: nearest neighbours and their distance in Å.
Sites, in units of the cell vectors:
In 0.0000 0.0000 0.0000  6 In 2.96-3.30, 2 W 3.02
Sb 0.5000 0.5000 0.3336  2 W 2.92, 4 Sb 2.96
W 0.0000 0.0000 0.5644  2 W 2.61, 2 Sb 2.92
W 0.5000 0.5000 0.7579  2 W 2.61

***

Record 3
Material: InSbW2
Method: DFT, PBE
State: relaxed

Properties
* calculated total energy: -0.540 Ry/atom
* energy above the lowest structure with this stoichiometry: 526 meV per atom
* space-group type: Immm (71)
* formation energy (no corrections): 3.39 eV/f.u.

a = 5.4444 Å, b = 5.4444 Å, c = 5.4444 Å
α = 143.74°, β = 126.53°, γ = 66.32°
Last column: nearest neighbours and their distance in Å.
Sites, in units of the cell vectors:
In 0.0000 0.0000 0.0000  4 W 2.90, 4 Sb 2.98
Sb 0.5000 0.5000 0.0000  4 W 2.78, 4 In 2.98
W 0.2584 0.7584 0.5000  2 Sb 2.78, 2 In 2.90, 4 W 2.98
W 0.7416 0.2416 0.5000  2 Sb 2.78, 2 In 2.90, 4 W 2.98